[1]
# CaTlBi2, optimized geometry, DFT PBE-GGA
data_CaTlBi2
_chemical_formula_sum 'Ca1 Tl1 Bi2'
_symmetry_space_group_name_H-M 'P 4/m m m'
_symmetry_Int_Tables_number 123
_symmetry_space_group_name_Hall '-P 4 2'
_cell_length_a 4.3666
_cell_length_b 4.3666
_cell_length_c 6.7904
_cell_angle_alpha 90.00
_cell_angle_beta 90.00
_cell_angle_gamma 90.00
loop_
_atom_site_label
_atom_site_type_symbol
_atom_site_fract_x
_atom_site_fract_y
_atom_site_fract_z
Ca1 Ca 0.0000 0.0000 0.0000
Tl1 Tl 0.0000 0.0000 0.5000
Bi1 Bi 0.5000 0.5000 0.2260
# polymorph energy (0 for the lowest one) = 31 meV/atom
# calculated formation energy = -374 meV per atom

[2]
# CaTlBi3, optimized geometry, DFT PBE-GGA
data_CaTlBi3
_chemical_formula_sum 'Ca1 Tl1 Bi3'
_symmetry_space_group_name_H-M 'P m -3 m'
_symmetry_Int_Tables_number 221
_symmetry_space_group_name_Hall '-P 4 2 3'
_cell_length_a 5.8536
_cell_length_b 5.8536
_cell_length_c 5.8536
_cell_angle_alpha 90.00
_cell_angle_beta 90.00
_cell_angle_gamma 90.00
loop_
_atom_site_label
_atom_site_type_symbol
_atom_site_fract_x
_atom_site_fract_y
_atom_site_fract_z
Ca1 Ca 0.0000 0.0000 0.0000
Tl1 Tl 0.5000 0.5000 0.5000
Bi1 Bi 0.0000 0.5000 0.5000
# polymorph energy (0 for the lowest one) = 620 meV/atom
# calculated formation energy = 377 meV per atom

[3]
# CaTlBi2, optimized geometry, DFT PBE-GGA
data_CaTlBi2
_chemical_formula_sum 'Ca2 Tl2 Bi4'
_symmetry_space_group_name_H-M 'I 4/m m m'
_symmetry_Int_Tables_number 139
_symmetry_space_group_name_Hall '-I 4 2'
_cell_length_a 4.9389
_cell_length_b 4.9389
_cell_length_c 10.1459
_cell_angle_alpha 90.00
_cell_angle_beta 90.00
_cell_angle_gamma 90.00
loop_
_atom_site_label
_atom_site_type_symbol
_atom_site_fract_x
_atom_site_fract_y
_atom_site_fract_z
Ca1 Ca 0.0000 0.0000 0.0000
Tl1 Tl 0.0000 0.0000 0.5000
Bi1 Bi 0.0000 0.5000 0.2500
# polymorph energy (0 for the lowest one) = 21 meV/atom
# calculated formation energy = -384 meV per atom

[4]
# Ca2TlBi, optimized geometry, DFT PBE-GGA
data_Ca2TlBi
_chemical_formula_sum 'Ca8 Tl4 Bi4'
_symmetry_space_group_name_H-M 'I -4 2 d'
_symmetry_Int_Tables_number 122
_symmetry_space_group_name_Hall 'I -4 2bw'
_cell_length_a 8.6125
_cell_length_b 8.6125
_cell_length_c 7.3639
_cell_angle_alpha 90.00
_cell_angle_beta 90.00
_cell_angle_gamma 90.00
loop_
_atom_site_label
_atom_site_type_symbol
_atom_site_fract_x
_atom_site_fract_y
_atom_site_fract_z
Ca1 Ca 0.2434 0.2500 0.1250
Tl1 Tl 0.0000 0.0000 0.5000
Bi1 Bi 0.0000 0.0000 0.0000
# polymorph energy (0 for the lowest one) = 252 meV/atom
# calculated formation energy = -348 meV per atom

[5]
# Ca5Tl2Bi, optimized geometry, DFT PBE-GGA
data_Ca5Tl2Bi
_chemical_formula_sum 'Ca20 Tl8 Bi4'
_symmetry_space_group_name_H-M 'I 4/m c m'
_symmetry_Int_Tables_number 140
_symmetry_space_group_name_Hall '-I 4 2c'
_cell_length_a 8.5032
_cell_length_b 8.5032
_cell_length_c 14.4634
_cell_angle_alpha 90.00
_cell_angle_beta 90.00
_cell_angle_gamma 90.00
loop_
_atom_site_label
_atom_site_type_symbol
_atom_site_fract_x
_atom_site_fract_y
_atom_site_fract_z
Ca1 Ca 0.0000 0.0000 0.0000
Ca2 Ca 0.1659 0.3341 0.1448
Tl1 Tl 0.1303 0.3697 0.5000
Bi1 Bi 0.0000 0.0000 0.2500
# calculated formation energy = -489 meV per atom

[6]
# CaTl6Bi2, optimized geometry, DFT PBE-GGA
data_CaTl6Bi2
_chemical_formula_sum 'Ca2 Tl12 Bi4'
_symmetry_space_group_name_H-M 'C 1 2/m 1'
_symmetry_Int_Tables_number 12
_cell_length_a 11.2072
_cell_length_b 4.7301
_cell_length_c 11.0876
_cell_angle_alpha 90.00
_cell_angle_beta 106.90
_cell_angle_gamma 90.00
loop_
_symmetry_equiv_pos_as_xyz
'x,y,z'
'-x,-y,-z'
'-x,y,-z'
'x,-y,z'
'x+1/2,y+1/2,z'
'-x+1/2,-y+1/2,-z'
'-x+1/2,y+1/2,-z'
'x+1/2,-y+1/2,z'
loop_
_atom_site_label
_atom_site_type_symbol
_atom_site_fract_x
_atom_site_fract_y
_atom_site_fract_z
Ca1 Ca 0.0000 0.0000 0.0000
Tl1 Tl 0.0020 0.0000 0.6682
Tl2 Tl 0.1671 0.5000 0.8850
Tl3 Tl 0.1710 0.5000 0.5556
Bi1 Bi 0.1618 0.5000 0.2089
# calculated formation energy = -152 meV per atom